First-principles (PBE+U) data for a geometry-optimized W4O9 structure, as listed in Alexandria.

a b c (Å): 6.857 6.857 3.871
angles (deg): 90.00 90.00 90.00
Fractional coordinates of all 13 atoms:
W (0.129, 0.303, 0.000)
W (0.303, 0.871, 0.000)
W (0.697, 0.129, 0.000)
W (0.871, 0.697, 0.000)
O (0.000, 0.000, 0.000)
O (0.135, 0.301, 0.500)
O (0.159, 0.606, 0.000)
O (0.301, 0.865, 0.500)
O (0.394, 0.159, 0.000)
O (0.606, 0.841, 0.000)
O (0.699, 0.135, 0.500)
O (0.841, 0.394, 0.000)
O (0.865, 0.699, 0.500)

Results
uncorrected energy: -7.498 eV/atom